This record from Alexandria describes a geometry-optimized ZrSb2Ir structure. The functional is PBE.

The structure belongs to space group Pm (No. 6); the cell edges are 3.207, 4.111 and 7.665 Å and the angles 90.00°, 101.98° and 90.00°. The distinct sites, in fractional coordinates, are Zr at (0.000, 0.000, 0.000), Sb at (0.385, 0.500, 0.768), Sb at (0.684, 0.000, 0.374) and Ir at (0.568, 0.500, 0.137).

The value obtained for the formation energy without anion corrections is -0.348 eV per atom. Its crystal system is monoclinic. For the energy relative to the lowest polymorph listed for this composition, the calculation gives 19 meV per atom.